Computed, not measured: a relaxed UMn2Tc crystal at the PBE-GGA level of DFT.

Properties
The formation energy from the elements comes out at 446.2 meV/atom. The polymorph energy (0 for the lowest one) comes out at 0.3364 eV/atom. The calculation puts the theoretical density at 12.44 g/cm3. As for the calculated volume: 14.88 Å³/atom. Its magnetization is 2.9 μB per cell.

Structure (POSCAR):
```
UMn2Tc
1.0
1.4093 0.8137 8.6508
-1.4093 0.8137 8.6508
0.0000 -1.6273 8.6508
U Mn Tc
1 2 1
direct
0.0000 0.0000 0.0000
0.0899 0.0899 0.0899
0.9101 0.9101 0.9101
0.5000 0.5000 0.5000
```